# BaHf3Cd

A relaxed structure of BaHf3Cd (PBE, Alexandria via LeMat-Bulk).

Unit cell a=5.2985 b=5.2985 c=5.2985 alpha=90.00 beta=90.00 gamma=90.00
Element x y z (fractional)
Ba 0.0000 0.0000 0.0000
Hf 0.0000 0.0000 0.5000
Hf 0.0000 0.5000 0.0000
Hf 0.5000 0.0000 0.0000
Cd 0.5000 0.5000 0.5000

Properties
- Space-group type: Pm-3m (221)
- Calculated density: 8.77 g/cm3
- D(E_F): 9.0 states/eV/f.u.
- Energy above the most stable polymorph in this dataset: 4.18 eV/f.u.
- Total magnetic moment: 0.0000 μB/atom
- DFT formation energy: 1.986 eV per atom